## Sm6PRu2Br3 (PBE)

Data for Sm6PRu2Br3 after structural relaxation.

The structure belongs to space group C2/m (No. 12); the cell edges are 7.135, 12.358 and 7.945 Å and the angles 90.00°, 107.51° and 90.00°. The distinct sites, in fractional coordinates, are Sm at (0.221, 0.000, 0.196), Sm at (0.236, 0.328, 0.197), P at (0.000, 0.500, 0.000), Ru at (0.000, 0.167, 0.000), Br at (0.000, 0.000, 0.500) and Br at (0.000, 0.337, 0.500).

The energy relative to the elements, uncorrected is -0.9982 eV per atom. The value obtained for the density of states at the Fermi level is 0.80 states/eV per atom. The calculated total energy comes out at -5.77 eV per atom. Its total magnetization is 0.00 μB/f.u.